# 1
Computed, not measured: a relaxed structure of ReOs3Se at the PBE level of DFT.

Unit cell a=4.7294 b=4.7294 c=4.7294 alpha=90.00 beta=90.00 gamma=90.00
Last column: nearest neighbours and their distance in Å.
Element x y z (fractional)
Re (0.0000, 0.0000, 0.0000)  6 Os 2.36
Os (0.0000, 0.5000, 0.0000)  2 Re 2.36
Os (0.0000, 0.0000, 0.5000)  2 Re 2.36
Os (0.5000, 0.0000, 0.0000)  2 Re 2.36
Se (0.5000, 0.5000, 0.5000)  12 Os 3.34

Values from the calculation:
The formation energy without anion corrections is 2.4136 eV per atom. For the offset from the most stable computed form, the calculation gives 220 meV/atom.

# 2
Computed, not measured: a relaxed structure of Nd8Ge5As at the PBE level of DFT.

Unit cell a=7.9301 b=7.9301 c=7.9301 alpha=109.44 beta=109.53 gamma=109.44
Last column: nearest neighbours and their distance in Å.
Element x y z (fractional)
Nd (0.1243, 0.7485, 0.0059)  5 Ge 3.00-3.35, 1 As 3.00
Nd (0.9941, 0.1184, 0.7426)  5 Ge 3.00-3.35, 1 As 3.00
Nd (0.7555, 0.2499, 0.3744)  4 Ge 3.00-3.35, 1 As 3.36
Nd (0.6256, 0.3811, 0.8755)  4 Ge 3.00-3.35, 1 As 3.36
Nd (0.4944, 0.6189, 0.2445)  4 Ge 3.00-3.35, 1 As 3.36
Nd (0.6243, 0.8816, 0.8757)  5 Ge 3.00-3.35, 1 As 3.00
Nd (0.2574, 0.2515, 0.3757)  5 Ge 3.00-3.35, 1 As 3.00
Nd (0.1245, 0.7501, 0.5056)  4 Ge 3.00-3.35, 1 As 3.36
Ge (0.0003, 0.3745, 0.1245)  7 Nd 3.00-3.35
Ge (0.8755, 0.8758, 0.2499)  7 Nd 3.00-3.35
Ge (0.7501, 0.6255, 0.6258)  7 Nd 3.00-3.35
Ge (0.5000, 0.0000, 0.5000)  8 Nd 3.00-3.35
Ge (0.3742, 0.1242, 0.9997)  7 Nd 3.00-3.35
As (0.2500, 0.5000, 0.7500)  8 Nd 3.00-3.36

Values from the calculation:
As for the formation energy: -0.894 eV/atom.

# 3
Computed, not measured: a relaxed structure of Ba2Ga12Au7 at the PBE level of DFT.

Unit cell a=4.5005 b=10.6475 c=10.6475 alpha=120.00 beta=90.00 gamma=90.00
Last column: nearest neighbours and their distance in Å.
Element x y z (fractional)
Ba (0.2557, 0.3333, 0.6667)  12 Ga 3.45-3.86, 6 Au 3.51-3.55
Ba (0.7443, 0.6667, 0.3333)  12 Ga 3.45-3.86, 6 Au 3.51-3.55
Ga (0.2594, 0.6365, 0.0682)  4 Au 2.67-2.75, 1 Ga 2.82
Ga (0.2594, 0.4317, 0.3635)  4 Au 2.67-2.75, 1 Ga 2.82
Ga (0.2594, 0.9318, 0.5683)  4 Au 2.67-2.75, 1 Ga 2.82
Ga (0.7406, 0.3635, 0.9318)  4 Au 2.67-2.75, 1 Ga 2.82
Ga (0.7406, 0.5683, 0.6365)  4 Au 2.67-2.75, 1 Ga 2.82
Ga (0.7406, 0.0682, 0.4317)  4 Au 2.67-2.75, 1 Ga 2.82
Ga (0.2489, 0.1307, 0.2582)  4 Au 2.64-2.89, 1 Ga 2.82
Ga (0.2489, 0.1275, 0.8693)  4 Au 2.64-2.89, 1 Ga 2.82
Ga (0.2489, 0.7418, 0.8725)  4 Au 2.64-2.89, 1 Ga 2.82
Ga (0.7511, 0.8693, 0.7418)  4 Au 2.64-2.89, 1 Ga 2.82
Ga (0.7511, 0.8725, 0.1307)  4 Au 2.64-2.89, 1 Ga 2.82
Ga (0.7511, 0.2582, 0.1275)  4 Au 2.64-2.89, 1 Ga 2.82
Au (0.5000, 0.0000, 0.0000)  6 Ga 2.64
Au (0.2364, 0.9077, 0.3070)  7 Ga 2.67-2.89
Au (0.2364, 0.3993, 0.0923)  7 Ga 2.67-2.89
Au (0.2364, 0.6930, 0.6007)  7 Ga 2.67-2.89
Au (0.7636, 0.0923, 0.6930)  7 Ga 2.67-2.89
Au (0.7636, 0.6007, 0.9077)  7 Ga 2.67-2.89
Au (0.7636, 0.3070, 0.3993)  7 Ga 2.67-2.89

Values from the calculation:
As for the formation energy: -0.372 eV/atom.

# 4
Computed, not measured: a relaxed structure of BaCeSe2O8 at the PBE level of DFT.

Unit cell a=5.9346 b=5.9346 c=7.7547 alpha=90.00 beta=90.00 gamma=120.00
Last column: nearest neighbours and their distance in Å.
Element x y z (fractional)
Ba (0.0000, 0.0000, 0.0000)  6 O 2.88
Ce (0.0000, 0.0000, 0.5000)  6 O 2.29
Se (0.6667, 0.3333, 0.2405)  4 O 1.67-1.80
Se (0.3333, 0.6667, 0.7595)  4 O 1.67-1.80
O (0.3333, 0.6667, 0.9751)  1 Se 1.67
O (0.3285, 0.1642, 0.3013)  1 Se 1.80
O (0.8358, 0.1642, 0.3013)  1 Se 1.80
O (0.6667, 0.3333, 0.0249)  1 Se 1.67
O (0.1642, 0.8358, 0.6987)  1 Se 1.80
O (0.6715, 0.8358, 0.6987)  1 Se 1.80
O (0.1642, 0.3285, 0.6987)  1 Se 1.80
O (0.8358, 0.6715, 0.3013)  1 Se 1.80

Values from the calculation:
The formation energy without anion corrections is -1.6374 eV per atom.

# 5
Computed, not measured: a relaxed structure of Ti2SnPbAu at the PBE level of DFT.

Unit cell a=5.2379 b=5.6712 c=5.2379 alpha=90.00 beta=90.00 gamma=90.00
Last column: nearest neighbours and their distance in Å.
Element x y z (fractional)
Pb (0.0000, 0.0000, 0.0000)  4 Ti 2.62, 2 Sn 2.84
Au (0.5000, 0.5000, 0.5000)  4 Sn 3.70, 8 Ti 3.86
Sn (0.0000, 0.5000, 0.0000)  2 Pb 2.84
Ti (0.0000, 0.0000, 0.5000)  2 Pb 2.62
Ti (0.5000, 0.0000, 0.0000)  2 Pb 2.62

Values from the calculation:
As for the formation energy: 1.202 eV/atom.

# 6
Computed, not measured: a relaxed structure of KGa2Au at the PBE level of DFT.

Unit cell a=4.9670 b=4.9670 c=4.9670 alpha=60.00 beta=60.00 gamma=60.00
Last column: nearest neighbours and their distance in Å.
Element x y z (fractional)
K (0.0000, 0.0000, 0.0000)  8 Ga 3.04
Au (0.5000, 0.5000, 0.5000)  8 Ga 3.04
Ga (0.2500, 0.2500, 0.2500)  4 Au 3.04, 4 K 3.04
Ga (0.7500, 0.7500, 0.7500)  4 Au 3.04, 4 K 3.04

Values from the calculation:
As for the formation energy: 0.040 eV/atom.